Entry 1:
DFT (GGA-PBE) results for a geometry-optimized In2FeOs structure.

a = 5.1221 Å, b = 5.1221 Å, c = 5.1221 Å
α = 133.89°, β = 133.89°, γ = 67.26°
Site moments in Bohr magnetons follow the coordinates.
Sites, in units of the cell vectors:
Fe (0.7500, 0.2500, 0.5000)  2.86
In (0.0000, 0.0000, 0.0000)  -0.03
In (0.2500, 0.7500, 0.5000)  -0.02
Os (0.5000, 0.5000, 0.0000)  0.54

Computed properties:
- DFT formation energy: 0.462 eV per atom
- DOS(E_F): 2.6 states/eV/cell
- SG: No. 119
- Total magnetic moment: 3.45 μB/cell
- Theoretical density: 11.507 g/cm³
- Energy above the most stable polymorph in this dataset: 133.0 meV per atom



Entry 2:
DFT (GGA-PBE) results for a geometry-optimized Cs2TlIn2 structure.

a = 4.3018 Å, b = 4.3018 Å, c = 13.0886 Å
α = 80.54°, β = 80.54°, γ = 90.00°
Site moments in Bohr magnetons follow the coordinates.
Sites, in units of the cell vectors:
Cs (0.3931, 0.3931, 0.2137)  0.03
Cs (0.6069, 0.6069, 0.7863)  0.03
Tl (0.0000, 0.0000, 0.0000)  0.12
In (0.7500, 0.2500, 0.5000)  0.01
In (0.2500, 0.7500, 0.5000)  0.01

Computed properties:
- DFT formation energy: 0.069 eV per atom
- DOS(E_F): 6.2 states/eV/cell
- SG: No. 139
- Total magnetic moment: 0.86 μB/cell
- Theoretical density: 4.933 g/cm³
- Energy above the most stable polymorph in this dataset: 154.7 meV per atom